# LiHf2GaH

An optimized crystal structure of LiHf2GaH (PBE-GGA, Alexandria via LeMat-Bulk).

a = 4.296 Å, b = 4.296 Å, c = 3.991 Å
α = 90.00°, β = 90.00°, γ = 90.00°
Fractional coordinates of all 5 atoms:
Li1 0.000 0.000 0.000
Hf1 0.000 0.500 0.500
Hf2 0.500 0.000 0.500
Ga1 0.500 0.500 0.000
H1 0.000 0.000 0.500

Properties
Fermi-level density of states ... 0.368 states/eV/atom
Symmetry ... P4/mmm (123)
Electronic total energy ... -0.4339 Ry per atom